Entry 1:
# Na2ErScTe4

A geometry-optimized Na2ErScTe4 structure (PBE-GGA, Alexandria).

Unit cell a=4.321 b=7.482 c=7.952 alpha=108.25 beta=90.00 gamma=90.00
Element x y z (fractional)
1 Na 0.500 0.000 0.500
2 Na 0.000 0.500 0.500
3 Er 0.500 0.500 0.000
4 Sc 0.000 0.000 0.000
5 Te 0.500 0.232 0.222
6 Te 0.500 0.768 0.778
7 Te 0.000 0.249 0.772
8 Te 0.000 0.751 0.228

raw formation energy	-120	kJ/mol of atoms

=====

Entry 2:
# Th3CdN

A geometry-optimized Th3CdN structure (PBE-GGA, Alexandria).

Unit cell a=5.010 b=5.010 c=5.010 alpha=90.00 beta=90.00 gamma=90.00
Element x y z (fractional)
1 N 0.000 0.000 0.000
2 Th 0.000 0.500 0.000
3 Th 0.000 0.000 0.500
4 Th 0.500 0.000 0.000
5 Cd 0.500 0.500 0.500

density of states at the Fermi level	4.7	states/eV/f.u.
raw formation energy	-63	kJ/mol of atoms

=====

Entry 3:
# Cs4Er3ZrSe8

A geometry-optimized Cs4Er3ZrSe8 structure (PBE-GGA, Alexandria).

Unit cell a=8.347 b=9.662 c=8.353 alpha=115.68 beta=119.98 gamma=90.00
Each line ends with the local moment (μB).
Element x y z (fractional)
1 Cs 0.500 0.000 0.000  0.00
2 Cs 0.500 0.000 0.500  0.00
3 Cs 0.000 0.000 0.000  0.00
4 Cs 0.000 0.000 0.500  0.00
5 Er 0.500 0.500 0.000  -0.03
6 Er 0.500 0.500 0.500  -0.03
7 Er 0.000 0.500 0.500  -0.03
8 Zr 0.000 0.500 0.000  -0.33
9 Se 0.223 0.683 0.961  0.00
10 Se 0.223 0.683 0.447  0.00
11 Se 0.271 0.315 0.543  0.00
12 Se 0.737 0.683 0.961  0.00
13 Se 0.263 0.317 0.039  0.00
14 Se 0.729 0.685 0.457  0.00
15 Se 0.777 0.317 0.553  0.00
16 Se 0.777 0.317 0.039  0.00

density of states at the Fermi level	4.7	states/eV/f.u.
raw formation energy	-154	kJ/mol of atoms

=====

Entry 4:
# VBSe2N

A geometry-optimized VBSe2N structure (PBE-GGA, Alexandria).

Unit cell a=5.298 b=5.298 c=2.707 alpha=90.00 beta=90.00 gamma=90.00
Each line ends with the local moment (μB).
Element x y z (fractional)
1 B 0.000 0.000 0.000  0.02
2 N 0.000 0.000 0.500  -0.12
3 Se 0.000 0.500 0.000  -0.13
4 Se 0.500 0.000 0.000  -0.13
5 V 0.500 0.500 0.500  2.13

density of states at the Fermi level	4.3	states/eV/f.u.
raw formation energy	26	kJ/mol of atoms

=====

Entry 5:
# Pa2HgPb

A geometry-optimized Pa2HgPb structure (PBE-GGA, Alexandria).

Unit cell a=4.802 b=4.608 c=4.608 alpha=90.00 beta=90.00 gamma=90.00
Each line ends with the local moment (μB).
Element x y z (fractional)
1 Pb 0.500 0.000 0.000  -0.01
2 Pa 0.000 0.000 0.500  0.52
3 Pa 0.000 0.500 0.000  0.52
4 Hg 0.500 0.500 0.500  0.00

density of states at the Fermi level	8.4	states/eV/f.u.
formation energy	112	meV per atom

=====

Entry 6:
# LaWAu2

A geometry-optimized LaWAu2 structure (PBE-GGA, Alexandria).

Unit cell a=5.820 b=5.820 c=5.389 alpha=64.02 beta=64.02 gamma=30.79
Element x y z (fractional)
1 Au 0.982 0.982 0.094
2 Au 0.742 0.742 0.714
3 La 0.513 0.513 0.557
4 W 0.263 0.263 0.136

density of states at the Fermi level	3.9	states/eV/f.u.
formation energy	226	meV per atom

=====

Entry 7:
# UNbIn

A geometry-optimized UNbIn structure (PBE-GGA, Alexandria).

Unit cell a=2.897 b=2.897 c=7.771 alpha=100.74 beta=100.74 gamma=90.00
Each line ends with the local moment (μB).
Element x y z (fractional)
1 Nb 0.664 0.664 0.327  -0.07
2 U 0.329 0.329 0.659  1.32
3 In 0.007 0.007 0.014  -0.01

density of states at the Fermi level	3.8	states/eV/f.u.
formation energy	179	meV per atom

=====

Entry 8:
# TiVW14

A geometry-optimized TiVW14 structure (PBE-GGA, Alexandria).

Unit cell a=5.494 b=5.494 c=8.978 alpha=90.00 beta=90.00 gamma=109.50
Element x y z (fractional)
1 Ti 0.625 0.375 0.500
2 V 0.125 0.875 0.500
3 W 0.125 0.875 0.000
4 W 0.625 0.375 0.000
5 W 0.125 0.375 0.500
6 W 0.125 0.375 0.000
7 W 0.625 0.875 0.500
8 W 0.625 0.875 0.000
9 W 0.373 0.124 0.749
10 W 0.373 0.124 0.251
11 W 0.876 0.627 0.749
12 W 0.876 0.627 0.251
13 W 0.375 0.625 0.748
14 W 0.375 0.625 0.252
15 W 0.875 0.125 0.748
16 W 0.875 0.125 0.252

density of states at the Fermi level	6.0	states/eV/f.u.
formation energy	-63	meV per atom

=====

Entry 9:
# Ni2OsCl

A geometry-optimized Ni2OsCl structure (PBE-GGA, Alexandria).

Unit cell a=4.990 b=4.990 c=4.469 alpha=63.72 beta=63.72 gamma=31.87
Each line ends with the local moment (μB).
Element x y z (fractional)
1 Cl 0.250 0.250 0.250  0.04
2 Ni 0.991 0.991 0.008  0.45
3 Ni 0.509 0.509 0.492  0.45
4 Os 0.750 0.750 0.750  0.49

density of states at the Fermi level	5.6	states/eV/f.u.
raw formation energy	79	kJ/mol of atoms

=====

Entry 10:
# LiEuMgPd

A geometry-optimized LiEuMgPd structure (PBE-GGA, Alexandria).

Unit cell a=4.971 b=4.971 c=4.971 alpha=60.00 beta=60.00 gamma=60.00
Each line ends with the local moment (μB).
Element x y z (fractional)
1 Eu 0.000 0.000 0.000  6.82
2 Mg 0.500 0.500 0.500  0.00
3 Pd 0.250 0.250 0.250  -0.03
4 Li 0.750 0.750 0.750  0.03

density of states at the Fermi level	8.8	states/eV/f.u.
formation energy	-342	meV per atom

=====

Entry 11:
# TbPmNiIr

A geometry-optimized TbPmNiIr structure (PBE-GGA, Alexandria).

Unit cell a=4.898 b=4.898 c=4.898 alpha=60.00 beta=60.00 gamma=60.00
Element x y z (fractional)
1 Ni 0.250 0.250 0.250
2 Ir 0.750 0.750 0.750
3 Tb 0.000 0.000 0.000
4 Pm 0.500 0.500 0.500

density of states at the Fermi level	3.2	states/eV/f.u.
formation energy	-538	meV per atom

=====

Entry 12:
# Pm5Pr8Cd

A geometry-optimized Pm5Pr8Cd structure (PBE-GGA, Alexandria).

Unit cell a=8.660 b=8.661 c=8.661 alpha=110.02 beta=108.39 gamma=110.01
Element x y z (fractional)
1 Pm 0.015 0.303 0.123
2 Pm 0.877 0.892 0.179
3 Pm 0.821 0.697 0.712
4 Pm 0.500 0.000 0.500
5 Pm 0.288 0.108 0.985
6 Pr 0.167 0.722 0.060
7 Pr 0.940 0.107 0.662
8 Pr 0.749 0.267 0.351
9 Pr 0.649 0.398 0.916
10 Pr 0.518 0.602 0.251
11 Pr 0.555 0.893 0.833
12 Pr 0.338 0.278 0.445
13 Pr 0.084 0.733 0.482
14 Cd 0.250 0.500 0.750

density of states at the Fermi level	20.4	states/eV/f.u.
formation energy	186	meV per atom

=====

Entry 13:
# Sr2SiH2

A geometry-optimized Sr2SiH2 structure (PBE-GGA, Alexandria).

Unit cell a=3.854 b=3.854 c=7.562 alpha=75.24 beta=75.24 gamma=90.00
Each line ends with the local moment (μB).
Element x y z (fractional)
1 Sr 0.354 0.354 0.292  0.01
2 Sr 0.646 0.646 0.708  0.01
3 Si 0.000 0.000 0.000  0.07
4 H 0.750 0.250 0.500  0.00
5 H 0.250 0.750 0.500  0.00

density of states at the Fermi level	2.9	states/eV/f.u.
total energy	-3.44	eV/atom

=====

Entry 14:
# TaAl3Cl

A geometry-optimized TaAl3Cl structure (PBE-GGA, Alexandria).

Unit cell a=4.563 b=4.563 c=4.563 alpha=90.00 beta=90.00 gamma=90.00
Element x y z (fractional)
1 Cl 0.000 0.000 0.000
2 Al 0.000 0.500 0.000
3 Al 0.000 0.000 0.500
4 Al 0.500 0.000 0.000
5 Ta 0.500 0.500 0.500

density of states at the Fermi level	2.5	states/eV/f.u.
raw formation energy	83	kJ/mol of atoms

=====

Entry 15:
# CaFe2Ni

A geometry-optimized CaFe2Ni structure (PBE-GGA, Alexandria).

Unit cell a=4.391 b=4.390 c=4.389 alpha=119.86 beta=119.86 gamma=90.26
Each line ends with the local moment (μB).
Element x y z (fractional)
1 Ni 0.500 0.500 0.000  0.49
2 Ca 0.750 0.250 0.500  -0.09
3 Fe 0.000 0.000 0.000  2.36
4 Fe 0.250 0.750 0.500  2.70

density of states at the Fermi level	5.2	states/eV/f.u.
formation energy	440	meV per atom

=====

Entry 16:
# YCuPb

A geometry-optimized YCuPb structure (PBE-GGA, Alexandria).

Unit cell a=6.876 b=4.517 c=4.518 alpha=89.99 beta=90.04 gamma=89.97
Element x y z (fractional)
1 Y 0.565 0.649 0.709
2 Y 0.994 0.150 0.208
3 Pb 0.527 0.149 0.209
4 Pb 0.032 0.650 0.708
5 Cu 0.280 0.150 0.709
6 Cu 0.280 0.650 0.209

density of states at the Fermi level	0.8	states/eV/f.u.
formation energy	-377	meV per atom

=====

Entry 17:
# Bi6Te2Rh

A geometry-optimized Bi6Te2Rh structure (PBE-GGA, Alexandria).

Unit cell a=8.585 b=8.585 c=8.981 alpha=90.02 beta=90.02 gamma=121.92
Element x y z (fractional)
1 Bi 0.690 0.742 0.250
2 Bi 0.258 0.310 0.250
3 Bi 0.310 0.258 0.750
4 Bi 0.742 0.690 0.750
5 Bi 0.974 0.563 0.250
6 Bi 0.437 0.026 0.250
7 Bi 0.026 0.437 0.750
8 Bi 0.563 0.974 0.750
9 Bi 0.105 0.895 0.555
10 Bi 0.105 0.895 0.945
11 Bi 0.895 0.105 0.445
12 Bi 0.895 0.105 0.055
13 Te 0.345 0.655 0.976
14 Te 0.345 0.655 0.524
15 Te 0.655 0.345 0.024
16 Te 0.655 0.345 0.476
17 Rh 0.069 0.931 0.250
18 Rh 0.931 0.069 0.750

density of states at the Fermi level	3.5	states/eV/f.u.
raw formation energy	-7	kJ/mol of atoms

=====

Entry 18:
# MgZnRu2

A geometry-optimized MgZnRu2 structure (PBE-GGA, Alexandria).

Unit cell a=2.765 b=3.990 c=5.434 alpha=90.00 beta=90.00 gamma=90.00
Each line ends with the local moment (μB).
Element x y z (fractional)
1 Mg 0.500 0.500 0.750  0.00
2 Ru 0.000 0.000 0.021  0.23
3 Ru 0.000 0.000 0.479  0.23
4 Zn 0.500 0.500 0.250  0.00

density of states at the Fermi level	5.1	states/eV/f.u.
formation energy	180	meV per atom

=====

Entry 19:
# LiTaSi2

A geometry-optimized LiTaSi2 structure (PBE-GGA, Alexandria).

Unit cell a=2.781 b=2.781 c=8.245 alpha=90.00 beta=90.00 gamma=99.58
Element x y z (fractional)
1 Li 0.500 0.500 0.750
2 Si 0.000 0.000 0.006
3 Si 0.000 0.000 0.494
4 Ta 0.500 0.500 0.250

density of states at the Fermi level	1.4	states/eV/f.u.
raw formation energy	-17	kJ/mol of atoms

=====

Entry 20:
# Cu2NiGe

A geometry-optimized Cu2NiGe structure (PBE-GGA, Alexandria).

Unit cell a=3.558 b=4.623 c=4.623 alpha=45.32 beta=67.37 gamma=67.37
Element x y z (fractional)
1 Cu 0.250 0.750 0.750
2 Cu 0.750 0.250 0.250
3 Ni 0.500 0.000 0.000
4 Ge 0.000 0.500 0.500

density of states at the Fermi level	0.9	states/eV/f.u.
formation energy	-83	meV per atom

=====

Entry 21:
# Ca2CdSe2

A geometry-optimized Ca2CdSe2 structure (PBE-GGA, Alexandria).

Unit cell a=8.158 b=8.158 c=3.789 alpha=90.00 beta=90.00 gamma=90.00
Element x y z (fractional)
1 Ca 0.155 0.655 0.500
2 Ca 0.655 0.845 0.500
3 Ca 0.845 0.345 0.500
4 Ca 0.345 0.155 0.500
5 Se 0.350 0.850 0.000
6 Se 0.850 0.650 0.000
7 Se 0.650 0.150 0.000
8 Se 0.150 0.350 0.000
9 Cd 0.000 0.000 0.000
10 Cd 0.500 0.500 0.000

density of states at the Fermi level	0.4	states/eV/f.u.
raw formation energy	-126	kJ/mol of atoms

=====

Entry 22:
# SrBe2IrO8

A geometry-optimized SrBe2IrO8 structure (PBE-GGA, Alexandria).

Unit cell a=5.180 b=5.180 c=6.779 alpha=90.00 beta=90.00 gamma=120.00
Each line ends with the local moment (μB).
Element x y z (fractional)
1 Sr 0.000 0.000 0.500  0.00
2 Be 0.667 0.333 0.243  -0.01
3 Be 0.333 0.667 0.757  -0.01
4 Ir 0.000 0.000 0.000  -0.03
5 O 0.834 0.166 0.166  0.02
6 O 0.834 0.668 0.166  0.02
7 O 0.332 0.166 0.166  0.02
8 O 0.668 0.834 0.834  0.02
9 O 0.333 0.667 0.518  0.73
10 O 0.667 0.333 0.482  0.73
11 O 0.166 0.834 0.834  0.02
12 O 0.166 0.332 0.834  0.02

density of states at the Fermi level	6.2	states/eV/f.u.
raw formation energy	-121	kJ/mol of atoms

=====

Entry 23:
# LaHgTeO

A geometry-optimized LaHgTeO structure (PBE-GGA, Alexandria).

Unit cell a=4.085 b=4.085 c=13.225 alpha=90.00 beta=90.00 gamma=90.00
Element x y z (fractional)
1 La 0.750 0.750 0.908
2 La 0.250 0.250 0.092
3 Hg 0.250 0.750 0.500
4 Hg 0.750 0.250 0.500
5 Te 0.750 0.750 0.255
6 Te 0.250 0.250 0.745
7 O 0.750 0.250 0.000
8 O 0.250 0.750 0.000

density of states at the Fermi level	3.0	states/eV/f.u.
raw formation energy	-169	kJ/mol of atoms

=====

Entry 24:
# Tm3AsPb2

A geometry-optimized Tm3AsPb2 structure (PBE-GGA, Alexandria).

Unit cell a=3.845 b=6.134 c=7.948 alpha=112.70 beta=104.00 gamma=90.00
Element x y z (fractional)
1 Tm 0.856 0.356 0.212
2 Tm 0.144 0.644 0.788
3 Tm 0.500 0.000 0.500
4 As 0.500 0.500 0.500
5 Pb 0.824 0.824 0.149
6 Pb 0.176 0.176 0.851

density of states at the Fermi level	3.9	states/eV/f.u.
formation energy	-672	meV per atom

=====

Entry 25:
# HoCdIrPd

A geometry-optimized HoCdIrPd structure (PBE-GGA, Alexandria).

Unit cell a=4.736 b=4.736 c=4.736 alpha=60.00 beta=60.00 gamma=60.00
Element x y z (fractional)
1 Ir 0.000 0.000 0.000
2 Ho 0.250 0.250 0.250
3 Pd 0.500 0.500 0.500
4 Cd 0.750 0.750 0.750

density of states at the Fermi level	1.4	states/eV/f.u.
formation energy	-559	meV per atom

=====

Entry 26:
# RbZnPt

A geometry-optimized RbZnPt structure (PBE-GGA, Alexandria).

Unit cell a=4.938 b=4.938 c=9.822 alpha=90.02 beta=90.07 gamma=109.38
Element x y z (fractional)
1 Rb 0.812 0.866 0.641
2 Rb 0.315 0.368 0.198
3 Zn 0.814 0.867 0.973
4 Zn 0.313 0.366 0.866
5 Pt 0.814 0.366 0.920
6 Pt 0.314 0.866 0.920

density of states at the Fermi level	1.2	states/eV/f.u.
formation energy	-281	meV per atom